Entry 1:
Below is a relaxed structure of Sm2UP3Rh12, with properties calculated at the PBE level.

Results
**Energy of formation from the pure elements**: -0.37 eV/atom
**V**: 18.278 A^3/atom

```
data_Sm2UP3Rh12
_symmetry_space_group_name_H-M 'R -3 m'
_symmetry_Int_Tables_number 166
_symmetry_space_group_name_Hall '-R 3 2"'
_cell_length_a 8.2307
_cell_length_b 8.2307
_cell_length_c 16.8234
_cell_angle_alpha 90.00
_cell_angle_beta 90.00
_cell_angle_gamma 120.00
loop_
_atom_site_label
_atom_site_type_symbol
_atom_site_fract_x
_atom_site_fract_y
_atom_site_fract_z
_atom_site_occupancy
Sm1 Sm 0.0000 0.0000 0.0986 1
U1 U 0.0000 0.0000 0.5000 1
P1 P 0.0000 0.5000 0.0000 1
Rh1 Rh 0.0133 0.5067 0.8659 1
Rh2 Rh 0.0478 0.5239 0.3595 1
```

---

Entry 2:
Below is a relaxed structure of SmUP2Rh5, with properties calculated at the PBE level.

Results
**Energy of formation from the pure elements**: -0.55 eV/atom
**V**: 19.140 A^3/atom

```
data_SmUP2Rh5
_symmetry_space_group_name_H-M 'P 4/m m m'
_symmetry_Int_Tables_number 123
_symmetry_space_group_name_Hall '-P 4 2'
_cell_length_a 4.000
_cell_length_b 4.000
_cell_length_c 10.768
_cell_angle_alpha 90.00
_cell_angle_beta 90.00
_cell_angle_gamma 90.00
loop_
_atom_site_label
_atom_site_type_symbol
_atom_site_fract_x
_atom_site_fract_y
_atom_site_fract_z
_atom_site_occupancy
Sm1 Sm 0.000 0.000 0.000 1
U1 U 0.500 0.500 0.500 1
P1 P 0.500 0.500 0.209 1
Rh1 Rh 0.000 0.500 0.325 1
Rh2 Rh 0.500 0.500 0.000 1
```